# 1
Below is a geometry-optimized PuTcHg structure, with properties calculated at the PBE level.

POSCAR file:
```
PuTcHg
1.0
11.9238 0.0000 0.0000
0.0000 3.3702 0.0000
-4.3526 0.0000 6.2246
Pu Tc Hg
4 4 4
Cartesian
1.5546 0.0000 0.2406
0.0546 1.6851 5.9840
7.5165 1.6851 0.2406
6.0165 0.0000 5.9840
-1.6212 0.0000 4.4405
3.2304 1.6851 1.7841
4.3407 1.6851 4.4405
9.1923 0.0000 1.7841
-0.2909 1.6851 2.3746
1.9002 0.0000 3.8500
5.6710 0.0000 2.3746
7.8621 1.6851 3.8500
```

## Properties
Energy relative to the elements in eV per atom: 0.2773
V in A^3/atom: 20.84
SG: C2/m

=====

# 2
Below is a geometry-optimized Pu2TcHg structure, with properties calculated at the PBE level.

POSCAR file:
```
Pu2TcHg
1.0
3.2459 0.0000 0.0000
0.0000 3.2459 0.0000
0.0000 0.0000 8.5068
Pu Tc Hg
2 1 1
Cartesian
0.0000 0.0000 1.7939
0.0000 0.0000 6.7130
1.6230 1.6230 0.0000
1.6230 1.6230 4.2534
```

## Properties
Energy relative to the elements in eV per atom: -0.0856
V in A^3/atom: 22.41
SG: P4/mmm

=====

# 3
Below is a geometry-optimized Pu2TcHg structure, with properties calculated at the PBE level.

POSCAR file:
```
Pu2TcHg
1.0
3.2197 0.0000 0.0000
-1.6098 2.7883 0.0000
0.0000 0.0000 32.2156
Pu Tc Hg
6 3 3
Cartesian
0.0000 0.0000 3.2244
0.0000 0.0000 28.9912
0.0000 1.8589 18.2526
0.0000 1.8589 24.7015
1.6098 0.9294 7.5141
1.6098 0.9294 13.9630
0.0000 0.0000 16.1078
0.0000 1.8589 5.3693
1.6098 0.9294 26.8463
0.0000 0.0000 0.0000
0.0000 1.8589 21.4771
1.6098 0.9294 10.7385
```

## Properties
Energy relative to the elements in eV per atom: 0.2404
V in A^3/atom: 24.10
SG: R-3m

=====

# 4
Below is a geometry-optimized Pu2TcHg structure, with properties calculated at the PBE level.

POSCAR file:
```
Pu2TcHg
1.0
4.6137 0.0000 0.0000
0.0000 4.6137 0.0000
0.0000 0.0000 4.1340
Pu Tc Hg
2 1 1
Cartesian
0.0000 2.3069 0.0000
2.3069 0.0000 0.0000
0.0000 0.0000 2.0670
2.3069 2.3069 2.0670
```

## Properties
Energy relative to the elements in eV per atom: 0.1604
V in A^3/atom: 22.00
SG: P4/mmm

=====

# 5
Below is a geometry-optimized PuThTcHg structure, with properties calculated at the PBE level.

POSCAR file:
```
PuThTcHg
1.0
7.2662 0.0000 0.0000
0.0000 7.2662 0.0000
0.0000 0.0000 7.2662
Pu Th Tc Hg
4 4 4 4
Cartesian
0.0000 0.0000 0.0000
0.0000 3.6331 3.6331
3.6331 0.0000 3.6331
3.6331 3.6331 0.0000
0.0000 0.0000 3.6331
0.0000 3.6331 0.0000
3.6331 0.0000 0.0000
3.6331 3.6331 3.6331
1.8166 1.8166 1.8166
1.8166 5.4497 5.4497
5.4497 1.8166 5.4497
5.4497 5.4497 1.8166
1.8166 1.8166 5.4497
1.8166 5.4497 1.8166
5.4497 1.8166 1.8166
5.4497 5.4497 5.4497
```

## Properties
Energy relative to the elements in eV per atom: 0.0685
V in A^3/atom: 23.98
SG: F-43m

=====

# 6
Below is a geometry-optimized PuThTcHg structure, with properties calculated at the PBE level.

POSCAR file:
```
PuThTcHg
1.0
3.3922 0.0000 0.0000
0.0000 3.3922 0.0000
0.0000 0.0000 8.3866
Pu Th Tc Hg
1 1 1 1
Cartesian
0.0000 0.0000 0.0000
0.0000 0.0000 3.5277
1.6961 1.6961 1.6945
1.6961 1.6961 6.0429
```

## Properties
Energy relative to the elements in eV per atom: -0.0983
V in A^3/atom: 24.13
SG: P4mm

=====

# 7
Below is a geometry-optimized PuHgTe structure, with properties calculated at the PBE level.

POSCAR file:
```
PuHgTe
1.0
4.0069 0.0000 0.0000
0.0000 4.0069 0.0000
0.0000 0.0000 10.3164
Pu Hg Te
2 2 2
Cartesian
0.0000 0.0000 0.0000
2.0035 2.0035 5.1582
0.0000 0.0000 6.9292
2.0035 2.0035 1.7710
0.0000 0.0000 3.5318
2.0035 2.0035 8.6900
```

## Properties
V in A^3/atom: 27.61
ΔE_f (raw) in eV per atom: -0.502
SG: I4mm

=====

# 8
Below is a geometry-optimized PuHgTe structure, with properties calculated at the PBE level.

POSCAR file:
```
PuHgTe
1.0
5.2652 0.0000 0.0000
-2.6326 4.5598 0.0000
0.0000 0.0000 3.4140
Pu Hg Te
1 1 1
Cartesian
0.0000 0.0000 0.0000
2.6326 1.5199 1.7070
0.0000 3.0399 1.7070
```

## Properties
V in A^3/atom: 27.32
ΔE_f (raw) in eV per atom: -0.299
SG: P-6m2

=====

Q: Number 8 is which compound?
A: PuHgTe

=====

Copy entry 7 word for word.
Below is a geometry-optimized PuHgTe structure, with properties calculated at the PBE level.

POSCAR file:
```
PuHgTe
1.0
4.0069 0.0000 0.0000
0.0000 4.0069 0.0000
0.0000 0.0000 10.3164
Pu Hg Te
2 2 2
Cartesian
0.0000 0.0000 0.0000
2.0035 2.0035 5.1582
0.0000 0.0000 6.9292
2.0035 2.0035 1.7710
0.0000 0.0000 3.5318
2.0035 2.0035 8.6900
```

## Properties
V in A^3/atom: 27.61
ΔE_f (raw) in eV per atom: -0.502
SG: I4mm